Dy7In2Cu2 PBE optimized geometry; E_form = -0.079 eV per atom; density = 7.9 g cm⁻³; crystal system = orthorhombic; final energy = -0.15619 hartree per atom
1.0
6.8241 -0.0029 -0.9005
0.0027 6.9895 0.0034
-1.3239 -0.0022 6.7547
Dy In Cu
7 2 2
direct
0.9998 0.2538 0.5003
0.5003 0.7462 0.9998
0.0002 0.7462 0.4997
0.4997 0.2538 0.0002
0.0000 0.0000 0.0000
0.5002 0.7590 0.4998
0.4998 0.2410 0.5002
0.8251 0.5000 0.8251
0.1749 0.5000 0.1749
0.7052 0.0000 0.2948
0.2948 0.0000 0.7052

=====

NaCa2H PBE optimized geometry; energy above the most stable polymorph in this dataset = 0.000 eV per atom; density = 1.5 g cm⁻³; crystal system = trigonal; final energy = -0.08283 hartree per atom
1.0
3.7718 0.0000 0.0000
1.8859 3.2665 0.0000
1.8859 1.0888 9.1937
Na Ca H
1 2 1
direct
0.4998 0.4998 0.5007
0.0529 0.0529 0.8414
0.2807 0.2807 0.1580
0.6667 0.6667 0.9999

=====

- Which formula does entry 1 have?
  Dy7In2Cu2

=====

- Which of these has the lowest density?
  NaCa2H

=====

- Among the records above, which one has the highest final energy?
  NaCa2H

=====

- Look up the density of the first one.
  7.9 g cm⁻³